No. 1
A plane-wave DFT calculation with PBEsol was carried out for a geometry-optimized Cr3GaCl structure. Values from VASP.

The structure in Quantum ESPRESSO input format:
```
&SYSTEM
  ibrav = 0, nat = 5, ntyp = 3
/
ATOMIC_SPECIES
Cr 52.00 Cr.upf
Ga 69.72 Ga.upf
Cl 35.45 Cl.upf
CELL_PARAMETERS angstrom
4.0687 0.0000 0.0000
0.0000 4.0687 0.0000
0.0000 0.0000 4.0687
ATOMIC_POSITIONS angstrom
Cr 0.0000 0.0000 2.0343
Cr 0.0000 2.0343 0.0000
Cr 2.0343 0.0000 0.0000
Ga 2.0343 2.0343 2.0343
Cl 0.0000 0.0000 0.0000
```

***

No. 2
A plane-wave DFT calculation with PBEsol was carried out for a geometry-optimized CrGaPCl2 structure. Values from VASP.

The structure in Quantum ESPRESSO input format:
```
&SYSTEM
  ibrav = 0, nat = 5, ntyp = 4
/
ATOMIC_SPECIES
Cr 52.00 Cr.upf
Ga 69.72 Ga.upf
P 30.97 P.upf
Cl 35.45 Cl.upf
CELL_PARAMETERS angstrom
4.7904 0.0000 0.0000
0.0000 4.7904 0.0000
0.0000 0.0000 4.5511
ATOMIC_POSITIONS angstrom
Cr 0.0000 0.0000 0.0000
Ga 2.3952 2.3952 2.2755
P 0.0000 0.0000 2.2755
Cl 0.0000 2.3952 0.0000
Cl 2.3952 0.0000 0.0000
```

***

No. 3
A plane-wave DFT calculation with PBEsol was carried out for a geometry-optimized CrGeCl3 structure. Values from VASP.

The structure in Quantum ESPRESSO input format:
```
&SYSTEM
  ibrav = 0, nat = 5, ntyp = 3
/
ATOMIC_SPECIES
Cr 52.00 Cr.upf
Ge 72.64 Ge.upf
Cl 35.45 Cl.upf
CELL_PARAMETERS angstrom
4.7521 0.0000 0.0000
0.0000 4.7521 0.0000
0.0000 0.0000 4.7521
ATOMIC_POSITIONS angstrom
Cr 0.0000 0.0000 0.0000
Ge 2.3760 2.3760 2.3760
Cl 0.0000 0.0000 2.3760
Cl 0.0000 2.3760 0.0000
Cl 2.3760 0.0000 0.0000
```

***

No. 4
A plane-wave DFT calculation with PBEsol was carried out for a geometry-optimized CrGeP2Cl structure. Values from VASP.

The structure in Quantum ESPRESSO input format:
```
&SYSTEM
  ibrav = 0, nat = 5, ntyp = 4
/
ATOMIC_SPECIES
Cr 52.00 Cr.upf
Ge 72.64 Ge.upf
P 30.97 P.upf
Cl 35.45 Cl.upf
CELL_PARAMETERS angstrom
4.6592 0.0000 0.0000
0.0000 4.6592 0.0000
0.0000 0.0000 4.7543
ATOMIC_POSITIONS angstrom
Cr 0.0000 0.0000 0.0000
Ge 2.3296 2.3296 2.3772
P 0.0000 2.3296 2.3772
P 2.3296 0.0000 2.3772
Cl 2.3296 2.3296 0.0000
```

***

Fermi-level density of states list, top to bottom, in states/eV/f.u.: 5.29 0.96 2.24 3.11
Raw formation energy list, top to bottom, in eV/atom: 0.70 -0.16 -0.29 0.84